Compound: CsNdPb4
Source: Alexandria via LeMat-Bulk
Functional: PBE
Structure: relaxed

a = 9.4340 Å, b = 9.4340 Å, c = 9.4340 Å
α = 90.00°, β = 90.00°, γ = 90.00°
Last column: nearest neighbours and their distance in Å.
Space group F-43m (No. 216)
Unique sites:
Cs: 0.0000 0.0000 0.0000 x4  12 Pb 3.92, 4 Nd 4.09
Nd: 0.2500 0.2500 0.7500 x4  12 Pb 3.91, 4 Cs 4.09
Pb: 0.1232 0.1232 0.3768 x16  6 Pb 3.29-3.38

The crystal system is cubic. The calculation puts the density of states at the Fermi level at 0.203 states/eV/atom. The uncorrected energy is -0.130 hartree per atom. For the energy of formation, the calculation gives -0.121 eV/atom. The spin magnetization is 0.00 μB per atom.

---

Compound: CsNd2PbS4
Source: Alexandria via LeMat-Bulk
Functional: PBE
Structure: relaxed

a = 4.2137 Å, b = 14.4893 Å, c = 16.7910 Å
α = 90.00°, β = 90.00°, γ = 90.00°
Last column: nearest neighbours and their distance in Å.
Space group Cmcm (No. 63)
Unique sites:
Cs: 0.0000 0.1009 0.2500 x4  2 S 3.32, 2 Pb 3.69
Nd: 0.0000 0.3711 0.0386 x8  5 S 2.73-2.91
Pb: 0.0000 0.1902 0.7500 x4  4 S 2.68-2.86
S: 0.0000 0.0000 0.0000 x4  4 Nd 2.89
S: 0.0000 0.2547 0.5891 x8  3 Nd 2.73-2.91, 1 Pb 2.86
S: 0.0000 0.4242 0.2500 x4  2 Pb 2.68

The crystal system is orthorhombic. The calculation puts the density of states at the Fermi level at 0.267 states/eV/atom. The uncorrected energy is -0.191 hartree per atom. The spin magnetization is 0.00 μB per atom. The calculation puts the formation energy from raw total energies at -1359.7 meV per atom.

---

Compound: CsNd2Pb3Se6
Source: Alexandria via LeMat-Bulk
Functional: PBE
Structure: relaxed

a = 19.0989 Å, b = 4.2713 Å, c = 9.6570 Å
α = 90.00°, β = 99.24°, γ = 90.00°
Last column: nearest neighbours and their distance in Å.
Space group C2/m (No. 12)
Unique sites:
Cs: 0.0000 0.0000 0.0000 x2  6 Se 3.47-3.58
Nd: 0.1699 0.5000 0.3395 x4  6 Se 2.85-3.09
Pb: 0.0000 0.0000 0.5000 x2  6 Se 3.03-3.17
Pb: 0.1627 0.5000 0.8241 x4  1 Se 2.85
Se: 0.0186 0.5000 0.2864 x4  1 Nd 2.85, 2 Pb 3.03
Se: 0.1679 0.0000 0.5625 x4  3 Nd 3.04-3.09, 3 Pb 3.17-3.32
Se: 0.1863 0.0000 0.1302 x4  1 Pb 2.85, 2 Nd 2.99

The crystal system is monoclinic. The calculation puts the density of states at the Fermi level at 0.366 states/eV/atom. The uncorrected energy is -0.169 hartree per atom. The spin magnetization is 0.00 μB per atom. The calculation puts the formation energy from raw total energies at -1072.7 meV per atom.

---

Compound: CsNdPbSe3
Source: Alexandria via LeMat-Bulk
Functional: PBE
Structure: relaxed

a = 4.3551 Å, b = 17.6985 Å, c = 12.3701 Å
α = 90.00°, β = 90.00°, γ = 90.00°
Last column: nearest neighbours and their distance in Å.
Space group Cmcm (No. 63)
Unique sites:
Cs: 0.0000 0.1890 0.2500 x4  4 Se 3.49-3.82
Nd: 0.0000 0.5000 0.0000 x4  6 Se 2.96-3.10
Pb: 0.0000 0.0952 0.7500 x4  4 Se 2.89-2.98
Se: 0.0000 0.1131 0.5108 x8  2 Nd 2.96, 1 Pb 2.98
Se: 0.0000 0.4880 0.7500 x4  2 Pb 2.89, 2 Nd 3.10

The crystal system is orthorhombic. The uncorrected energy is -0.166 hartree per atom. The spin magnetization is 0.00 μB per atom. The calculation puts the formation energy from raw total energies at -1214.0 meV per atom.

---

Compound: Cs2PmNdSe4
Source: Alexandria via LeMat-Bulk
Functional: PBE
Structure: relaxed

a = 7.6026 Å, b = 4.3893 Å, c = 8.7788 Å
α = 90.00°, β = 106.76°, γ = 90.00°
Last column: nearest neighbours and their distance in Å.
Space group P2/m (No. 10)
Unique sites:
Cs: 0.0000 0.0000 0.0000 x1  6 Se 3.63
Cs: 0.5000 0.5000 0.0000 x1  6 Se 3.64
Pm: 0.0000 0.5000 0.5000 x1  6 Se 2.99
Nd: 0.5000 0.0000 0.5000 x1  6 Se 3.00
Se: 0.2283 0.0000 0.6897 x2  2 Pm 2.99, 1 Nd 3.00
Se: 0.2684 0.5000 0.3096 x2  1 Pm 2.99, 2 Nd 3.00

The crystal system is monoclinic. The calculation puts the density of states at the Fermi level at 0.000 states/eV/atom. The uncorrected energy is -0.179 hartree per atom. The spin magnetization is 0.00 μB per atom. The calculation puts the formation energy from raw total energies at -1730.3 meV per atom.

---

Compound: Cs3Pm2NdSe6
Source: Alexandria via LeMat-Bulk
Functional: PBE
Structure: relaxed

a = 7.5926 Å, b = 13.1511 Å, c = 8.7799 Å
α = 90.00°, β = 106.75°, γ = 90.00°
Last column: nearest neighbours and their distance in Å.
Space group C2/m (No. 12)
Unique sites:
Cs: 0.0000 0.0000 0.0000 x2  6 Se 3.62-3.64
Cs: 0.0000 0.3335 0.0000 x4  6 Se 3.63-3.64
Pm: 0.0000 0.1667 0.5000 x4  6 Se 2.99
Nd: 0.0000 0.5000 0.5000 x2  6 Se 3.00
Se: 0.2283 0.0000 0.6899 x4  2 Pm 2.99, 1 Nd 3.00
Se: 0.2308 0.3325 0.6899 x8  2 Pm 2.99, 1 Nd 3.00

The crystal system is monoclinic. The calculation puts the density of states at the Fermi level at 0.000 states/eV/atom. The uncorrected energy is -0.179 hartree per atom. The spin magnetization is 0.00 μB per atom. The calculation puts the formation energy from raw total energies at -1730.9 meV per atom.

---

Compound: Cs3PmNd2Se6
Source: Alexandria via LeMat-Bulk
Functional: PBE
Structure: relaxed

a = 7.6107 Å, b = 13.1818 Å, c = 8.7827 Å
α = 90.00°, β = 106.79°, γ = 90.00°
Last column: nearest neighbours and their distance in Å.
Space group C2/m (No. 12)
Unique sites:
Cs: 0.0000 0.0000 0.0000 x2  6 Se 3.63-3.64
Cs: 0.0000 0.3330 0.0000 x4  6 Se 3.63-3.64
Pm: 0.0000 0.5000 0.5000 x2  6 Se 2.99
Nd: 0.0000 0.1666 0.5000 x4  6 Se 3.00
Se: 0.2292 0.3342 0.6902 x8  1 Pm 2.99, 2 Nd 3.00
Se: 0.2318 0.0000 0.6904 x4  1 Pm 2.99, 2 Nd 3.00

The crystal system is monoclinic. The calculation puts the density of states at the Fermi level at 0.000 states/eV/atom. The uncorrected energy is -0.179 hartree per atom. The spin magnetization is 0.00 μB per atom. The calculation puts the formation energy from raw total energies at -1729.8 meV per atom.

---

Compound: CsPm3Nd2Te6
Source: Alexandria via LeMat-Bulk
Functional: PBE
Structure: relaxed

a = 20.1049 Å, b = 4.4934 Å, c = 9.4508 Å
α = 90.00°, β = 104.16°, γ = 90.00°
Last column: nearest neighbours and their distance in Å.
Space group C2/m (No. 12)
Unique sites:
Cs: 0.0000 0.0000 0.0000 x2  6 Te 3.44-3.48
Pm: 0.0000 0.0000 0.5000 x2  6 Te 3.09-3.20
Pm: 0.1610 0.5000 0.8191 x4  6 Te 3.13-3.34
Nd: 0.1719 0.5000 0.3477 x4  6 Te 3.20-3.36
Te: 0.0040 0.5000 0.2777 x4  3 Pm 3.09-3.22, 1 Nd 3.28, 2 Cs 3.44
Te: 0.1642 0.0000 0.5849 x4  3 Pm 3.17-3.20, 3 Nd 3.20
Te: 0.1785 0.0000 0.0871 x4  3 Pm 3.13-3.34, 2 Nd 3.36, 1 Cs 3.48

The crystal system is monoclinic. The calculation puts the density of states at the Fermi level at 0.330 states/eV/atom. The uncorrected energy is -0.182 hartree per atom. The spin magnetization is 0.00 μB per atom. The calculation puts the formation energy from raw total energies at -1338.7 meV per atom.

---

Repeat the second record exactly.
Compound: CsNd2PbS4
Source: Alexandria via LeMat-Bulk
Functional: PBE
Structure: relaxed

a = 4.2137 Å, b = 14.4893 Å, c = 16.7910 Å
α = 90.00°, β = 90.00°, γ = 90.00°
Last column: nearest neighbours and their distance in Å.
Space group Cmcm (No. 63)
Unique sites:
Cs: 0.0000 0.1009 0.2500 x4  2 S 3.32, 2 Pb 3.69
Nd: 0.0000 0.3711 0.0386 x8  5 S 2.73-2.91
Pb: 0.0000 0.1902 0.7500 x4  4 S 2.68-2.86
S: 0.0000 0.0000 0.0000 x4  4 Nd 2.89
S: 0.0000 0.2547 0.5891 x8  3 Nd 2.73-2.91, 1 Pb 2.86
S: 0.0000 0.4242 0.2500 x4  2 Pb 2.68

The crystal system is orthorhombic. The calculation puts the density of states at the Fermi level at 0.267 states/eV/atom. The uncorrected energy is -0.191 hartree per atom. The spin magnetization is 0.00 μB per atom. The calculation puts the formation energy from raw total energies at -1359.7 meV per atom.

---

> spin magnetization of number 8 (CsPm3Nd2Te6)?

0.00 μB per atom

---

Repeat the eighth record exactly.
Compound: CsPm3Nd2Te6
Source: Alexandria via LeMat-Bulk
Functional: PBE
Structure: relaxed

a = 20.1049 Å, b = 4.4934 Å, c = 9.4508 Å
α = 90.00°, β = 104.16°, γ = 90.00°
Last column: nearest neighbours and their distance in Å.
Space group C2/m (No. 12)
Unique sites:
Cs: 0.0000 0.0000 0.0000 x2  6 Te 3.44-3.48
Pm: 0.0000 0.0000 0.5000 x2  6 Te 3.09-3.20
Pm: 0.1610 0.5000 0.8191 x4  6 Te 3.13-3.34
Nd: 0.1719 0.5000 0.3477 x4  6 Te 3.20-3.36
Te: 0.0040 0.5000 0.2777 x4  3 Pm 3.09-3.22, 1 Nd 3.28, 2 Cs 3.44
Te: 0.1642 0.0000 0.5849 x4  3 Pm 3.17-3.20, 3 Nd 3.20
Te: 0.1785 0.0000 0.0871 x4  3 Pm 3.13-3.34, 2 Nd 3.36, 1 Cs 3.48

The crystal system is monoclinic. The calculation puts the density of states at the Fermi level at 0.330 states/eV/atom. The uncorrected energy is -0.182 hartree per atom. The spin magnetization is 0.00 μB per atom. The calculation puts the formation energy from raw total energies at -1338.7 meV per atom.